Density functional theory data (GGA+U) for crystalline MnWO2 at its relaxed geometry.

Calculated values
Calculated total energy, eV/atom: -7.1473

abc: 4.872 4.872 5.972
angles: 65.93 65.93 90.00
Sites, in units of the cell vectors:
O1 0.875 0.869 0.750
O2 0.619 0.125 0.250
O3 0.131 0.625 0.250
O4 0.375 0.381 0.750
W1 0.000 0.000 0.000
W2 0.750 0.250 0.500
Mn1 0.250 0.750 0.500
Mn2 0.500 0.500 0.000